First-principles (PBE) data for crystalline TbAgSbPd at its relaxed geometry, as listed in Alexandria.

Properties
DOS at the Fermi energy (states/eV/f.u.): 1.4
Space-group type: F-43m
Raw formation energy (eV per atom): -0.574

a = 4.918 Å, b = 4.918 Å, c = 4.918 Å
α = 60.00°, β = 60.00°, γ = 60.00°
Atoms (fractional coordinates):
Sb  0.000  0.000  0.000
Tb  0.500  0.500  0.500
Ag  0.250  0.250  0.250
Pd  0.750  0.750  0.750